1.
Computed, not measured: a geometry-optimized DyTmW structure at the GGA-PBE level of DFT.

Results
Size of the total moment, μB per atom: 0.00
DFT formation energy, eV/atom: 0.17
Uncorrected energy, eV/atom: -7.173

```
6
Lattice="3.332 0.000 0.000 0.000 3.332 0.000 0.000 0.000 13.485" Properties=species:S:1:pos:R:3 pbc="T T T"
W 0.000 1.666 12.821
Dy 0.000 1.666 8.030
W 1.666 0.000 0.664
Tm 1.666 0.000 10.869
Dy 1.666 0.000 5.455
Tm 0.000 1.666 2.616
```

=====

2.
Computed, not measured: a geometry-optimized LaTbPm3Nd structure at the GGA-PBE level of DFT.

Results
Size of the total moment, μB per atom: 0.00
DFT formation energy, eV/atom: 0.02
Uncorrected energy, eV/atom: -4.745

```
12
Lattice="-4.458 -2.471 0.968 3.099 -2.848 7.001 -5.225 9.627 0.512" Properties=species:S:1:pos:R:3 pbc="T T T"
Nd -3.998 5.058 1.456
Pm -3.326 5.241 5.015
La -4.337 2.483 7.220
La -2.247 1.825 1.260
Pm -5.020 2.312 3.638
Nd -2.587 -0.751 7.025
Tb -6.750 5.508 3.832
Pm -0.857 -3.944 6.841
Tb 0.166 -1.201 4.649
Pm -1.564 1.995 4.842
Pm -5.728 8.251 1.640
Pm -3.259 -0.934 3.465
```

=====

Which value of uncorrected energy does entry 1 give? -7.173 eV/atom